Entry 1:
Compound: RbSc2TaMn
Source: Alexandria
Functional: PBE
Structure: relaxed

Values from the calculation:
- Total energy: -5.99 eV per atom
- Magnetic moment: 1.86 μB/f.u.
- DOS at the Fermi energy: 1.025 states/eV per atom
- Formation enthalpy at 0 K: 0.94 eV per atom

abc: 5.4508 5.4508 4.8328
angles: 90.00 90.00 90.00
Space group P4/mmm (No. 123)
One atom of each set of equivalent atoms:
Rb: 0.0000 0.0000 0.0000 [1 per cell]
Sc: 0.0000 0.5000 0.5000 [2 per cell]
Ta: 0.5000 0.5000 0.5000 [1 per cell]
Mn: 0.5000 0.5000 0.0000 [1 per cell]

Entry 2:
Compound: MnSbH
Source: Alexandria
Functional: PBE
Structure: relaxed

Values from the calculation:
- Total energy: -5.49 eV per atom
- Magnetic moment: 2.62 μB/f.u.
- DOS at the Fermi energy: 0.496 states/eV per atom

abc: 3.7524 8.8561 5.3027
angles: 90.00 90.00 90.00
Space group Cmc2_1 (No. 36)
One atom of each set of equivalent atoms:
Mn: 0.0000 0.0591 0.0000 [4 per cell]
Sb: 0.0000 0.3534 0.1649 [4 per cell]
H: 0.0000 0.0951 0.3141 [4 per cell]

Entry 3:
Compound: Pr3TmMg8
Source: Alexandria
Functional: PBE
Structure: relaxed

Values from the calculation:
- Total energy: -2.72 eV per atom
- Magnetic moment: 0.00 μB/f.u.
- DOS at the Fermi energy: 0.955 states/eV per atom
- Formation enthalpy at 0 K: -0.09 eV per atom

abc: 6.1234 6.1234 29.9085
angles: 90.00 90.00 120.00
Space group R3m (No. 160, hexagonal axes)
One atom of each set of equivalent atoms:
Pr: 0.0000 0.0000 0.0000 [3 per cell]
Pr: 0.0000 0.0000 0.1255 [3 per cell]
Pr: 0.0000 0.0000 0.6240 [3 per cell]
Tm: 0.0000 0.0000 0.4997 [3 per cell]
Mg: 0.0000 0.0000 0.3125 [3 per cell]
Mg: 0.0000 0.0000 0.8122 [3 per cell]
Mg: 0.0017 0.5008 0.0633 [9 per cell]
Mg: 0.1671 0.3343 0.8948 [9 per cell]